Compound: CdMoF3
Source: Alexandria via LeMat-Bulk
Functional: GGA+U
Structure: relaxed

abc: 4.351 4.351 4.351
angles: 90.00 90.00 90.00
Site moments in Bohr magnetons follow the coordinates.
Fractional coordinates of all 5 atoms:
Mo  0.000  0.000  0.000  2.83
F  0.000  0.500  0.000  0.02
F  0.000  0.000  0.500  0.00
F  0.500  0.000  0.000  0.06
Cd  0.500  0.500  0.500  -0.01

Properties
The space group is No. 221. The calculation puts the energy relative to the lowest polymorph listed for this composition at 0.000 eV per formula unit. The value obtained for the total moment is 3.02 μB per formula unit.